A plane-wave DFT calculation with GGA-PBEsol was carried out for a relaxed LiLaNF2 crystal.

abc: 4.6796 4.6796 4.3409
angles: 90.00 90.00 90.00
Space group P4/mmm (No. 123)
Symmetry-distinct sites (fractional):
Li: 0.0000 0.0000 0.0000 [1 per cell]
La: 0.5000 0.5000 0.5000 [1 per cell]
N: 0.5000 0.5000 0.0000 [1 per cell]
F: 0.0000 0.5000 0.5000 [2 per cell]

The energy relative to the elements, uncorrected is -936 kJ/mol of formula units. The density of states at the Fermi level comes out at 1.3 states/eV per cell. The calculation puts the spin magnetization at 0.035 μB/atom.

A plane-wave DFT calculation with GGA-PBEsol was carried out for a relaxed LiCeF5 crystal.

abc: 14.6844 14.6844 6.5115
angles: 90.00 90.00 90.00
Space group I4_1/a (No. 88, origin choice 2)
Symmetry-distinct sites (fractional):
Li: 0.0739 0.3346 0.2676 [16 per cell]
Ce: 0.0627 0.4442 0.7430 [16 per cell]
F: 0.0358 0.4488 0.3691 [16 per cell]
F: 0.0485 0.3350 0.9802 [16 per cell]
F: 0.0679 0.1402 0.6789 [16 per cell]
F: 0.0769 0.0395 0.0039 [16 per cell]
F: 0.1579 0.0435 0.3953 [16 per cell]

The energy relative to the elements, uncorrected is -2375 kJ/mol of formula units. The density of states at the Fermi level comes out at 0.0 states/eV per cell. The calculation puts the spin magnetization at 0.000 μB/atom.

A plane-wave DFT calculation with GGA-PBEsol was carried out for a relaxed AlPtCl crystal.

abc: 2.9545 2.9545 12.0889
angles: 90.00 90.00 90.00
Space group I4mm (No. 107)
Symmetry-distinct sites (fractional):
Al: 0.0000 0.0000 0.0000 [2 per cell]
Pt: 0.0000 0.0000 0.3840 [2 per cell]
Cl: 0.0000 0.0000 0.6417 [2 per cell]

The energy relative to the elements, uncorrected is -140 kJ/mol of formula units. The density of states at the Fermi level comes out at 0.9 states/eV per cell. The calculation puts the spin magnetization at 0.000 μB/atom.

A plane-wave DFT calculation with GGA-PBEsol was carried out for a relaxed Zr2InPRu crystal.

abc: 4.8185 4.8185 4.3341
angles: 90.00 90.00 90.00
Space group P4/mmm (No. 123)
Symmetry-distinct sites (fractional):
Zr: 0.0000 0.5000 0.0000 [2 per cell]
In: 0.0000 0.0000 0.5000 [1 per cell]
P: 0.5000 0.5000 0.0000 [1 per cell]
Ru: 0.5000 0.5000 0.5000 [1 per cell]

As for the formation energy: -0.28 eV/atom. The density of states at the Fermi level comes out at 4.5 states/eV per cell. The calculation puts the spin magnetization at 0.000 μB/atom.

A plane-wave DFT calculation with GGA-PBEsol was carried out for a relaxed In2IrPt crystal.

abc: 2.9774 2.9774 8.1157
angles: 90.00 90.00 90.00
Space group P4mm (No. 99)
Symmetry-distinct sites (fractional):
In: 0.0000 0.0000 0.0000 [1 per cell]
In: 0.5000 0.5000 0.3252 [1 per cell]
Ir: 0.0000 0.0000 0.5459 [1 per cell]
Pt: 0.5000 0.5000 0.7696 [1 per cell]

As for the formation energy: 0.07 eV/atom. The density of states at the Fermi level comes out at 3.5 states/eV per cell. The calculation puts the spin magnetization at 0.000 μB/atom. Its distance to the lowest polymorph of the same formula is 193.6 meV/atom.

A plane-wave DFT calculation with GGA-PBEsol was carried out for a relaxed Y2AsPb crystal.

abc: 4.9205 4.9205 8.0525
angles: 90.00 90.00 90.00
Space group I4/mmm (No. 139)
Symmetry-distinct sites (fractional):
Y: 0.0000 0.5000 0.2500 [4 per cell]
As: 0.0000 0.0000 0.0000 [2 per cell]
Pb: 0.0000 0.0000 0.5000 [2 per cell]

As for the formation energy: -0.69 eV/atom. The density of states at the Fermi level comes out at 7.1 states/eV per cell. The calculation puts the spin magnetization at 0.000 μB/atom. Its distance to the lowest polymorph of the same formula is 363.1 meV/atom.

A plane-wave DFT calculation with GGA-PBEsol was carried out for a relaxed CuNi2Os crystal.

abc: 2.5788 4.2621 4.2956
angles: 90.00 90.00 90.00
Space group Pmmm (No. 47)
Symmetry-distinct sites (fractional):
Cu: 0.0000 0.0000 0.0000 [1 per cell]
Ni: 0.0000 0.5000 0.5000 [1 per cell]
Ni: 0.5000 0.5000 0.0000 [1 per cell]
Os: 0.5000 0.0000 0.5000 [1 per cell]

As for the formation energy: 0.34 eV/atom. The density of states at the Fermi level comes out at 5.1 states/eV per cell. The calculation puts the spin magnetization at 0.359 μB/atom. Its distance to the lowest polymorph of the same formula is 260.8 meV/atom.

A plane-wave DFT calculation with GGA-PBEsol was carried out for a relaxed Ag6Pt5 crystal.

abc: 4.8641 6.2719 6.2807
angles: 107.24 105.07 97.24
Space group P-1 (No. 2)
Symmetry-distinct sites (fractional):
Ag: 0.0856 0.3204 0.3609 [2 per cell]
Ag: 0.1766 0.1362 0.7246 [2 per cell]
Ag: 0.2784 0.9550 0.0940 [2 per cell]
Pt: 0.0000 0.5000 0.0000 [1 per cell]
Pt: 0.3704 0.7725 0.4581 [2 per cell]
Pt: 0.4621 0.5858 0.8221 [2 per cell]

As for the formation energy: 0.02 eV/atom. The density of states at the Fermi level comes out at 6.0 states/eV per cell. The calculation puts the spin magnetization at 0.000 μB/atom. Its distance to the lowest polymorph of the same formula is 25.5 meV/atom.